{"formula": "Ce3CoBi", "functional": "PBE", "state": "relaxed", "lattice_angstrom": [[-2.665, 0.639, 4.381], [3.933, -2.006, 2.685], [2.032, 4.719, 0.548]], "species": ["Co", "Bi", "Ce", "Ce", "Ce"], "frac_coords": [[0.000, 0.000, 0.000], [0.500, 0.500, 0.500], [0.000, 0.500, 0.000], [0.000, 0.000, 0.500], [0.500, 0.000, 0.000]], "ef_kj_per_mol_atoms": -36.7, "magnetic_moment_mub_per_cell": 2.631, "space_group": "No. 221", "relative_energy_ev_per_fu": 0.34}